A plane-wave DFT calculation with PBE was carried out for a relaxed Ba8Sn2H crystal.

abc: 11.8306 11.8306 8.7128
angles: 90.12 90.12 25.66
Fractional coordinates of all 11 atoms:
1 Ba 0.0058 0.0058 0.2565
2 Ba 0.2256 0.2256 0.7381
3 Ba 0.3809 0.3809 0.9834
4 Ba 0.3873 0.3873 0.5093
5 Ba 0.6127 0.6127 0.4907
6 Ba 0.6191 0.6191 0.0166
7 Ba 0.7744 0.7744 0.2619
8 Ba 0.9942 0.9942 0.7435
9 Sn 0.1726 0.1726 0.2607
10 Sn 0.8274 0.8274 0.7393
11 H 0.5000 0.5000 0.5000

## Properties
The calculation puts the calculated volume at 528.1 Å³ per cell. The value obtained for the energy is -29.86 eV/cell. The magnetization is 0.0 μB per formula unit.


A plane-wave DFT calculation with PBE was carried out for a relaxed BaSnH2 crystal.

abc: 5.1536 5.1536 12.5382
angles: 90.00 90.00 90.00
Fractional coordinates of all 16 atoms:
1 Ba 0.0000 0.0000 0.0000
2 Ba 0.0000 0.5000 0.2500
3 Ba 0.5000 0.0000 0.7500
4 Ba 0.5000 0.5000 0.5000
5 Sn 0.0000 0.0000 0.5000
6 Sn 0.0000 0.5000 0.7500
7 Sn 0.5000 0.0000 0.2500
8 Sn 0.5000 0.5000 0.0000
9 H 0.1546 0.2500 0.6250
10 H 0.2500 0.6546 0.8750
11 H 0.2500 0.8454 0.3750
12 H 0.3454 0.2500 0.1250
13 H 0.6546 0.7500 0.1250
14 H 0.7500 0.1546 0.3750
15 H 0.7500 0.3454 0.8750
16 H 0.8454 0.7500 0.6250

## Properties
The calculation puts the calculated volume at 333.0 Å³ per cell. The energy relative to the lowest polymorph listed for this composition comes out at 301.5 meV/atom. The value obtained for the energy is -50.91 eV/cell. The magnetization is 0.0 μB per formula unit.


A plane-wave DFT calculation with PBE was carried out for a relaxed Ba12Sn6H crystal.

abc: 10.0079 10.0079 10.0079
angles: 99.24 99.24 99.24
Fractional coordinates of all 19 atoms:
1 Ba 0.0503 0.6844 0.9377
2 Ba 0.0623 0.9497 0.3156
3 Ba 0.1768 0.4392 0.5844
4 Ba 0.3156 0.0623 0.9497
5 Ba 0.4156 0.8232 0.5608
6 Ba 0.4392 0.5844 0.1768
7 Ba 0.5608 0.4156 0.8232
8 Ba 0.5844 0.1768 0.4392
9 Ba 0.6844 0.9377 0.0503
10 Ba 0.8232 0.5608 0.4156
11 Ba 0.9377 0.0503 0.6844
12 Ba 0.9497 0.3156 0.0623
13 Sn 0.1332 0.6155 0.2878
14 Sn 0.2878 0.1332 0.6155
15 Sn 0.3845 0.7122 0.8668
16 Sn 0.6155 0.2878 0.1332
17 Sn 0.7122 0.8668 0.3845
18 Sn 0.8668 0.3845 0.7122
19 H 0.0000 0.0000 0.0000

## Properties
The calculation puts the calculated volume at 958.5 Å³ per cell. The value obtained for the energy is -58.71 eV/cell. The magnetization is 0.0 μB per formula unit.


A plane-wave DFT calculation with PBE was carried out for a relaxed BaSnH3 crystal.

abc: 4.7401 5.3973 7.0033
angles: 90.00 108.83 90.00
Fractional coordinates of all 10 atoms:
1 Ba 0.1480 0.2500 0.2836
2 Ba 0.8520 0.7500 0.7164
3 Sn 0.4572 0.2500 0.8528
4 Sn 0.5428 0.7500 0.1472
5 H 0.0615 0.2500 0.8547
6 H 0.3082 0.5013 0.6312
7 H 0.3082 0.9987 0.6312
8 H 0.6918 0.0013 0.3688
9 H 0.6918 0.4987 0.3688
10 H 0.9385 0.7500 0.1453

## Properties
The calculation puts the calculated volume at 169.6 Å³ per cell. The energy relative to the lowest polymorph listed for this composition comes out at 0.0 meV/atom. The value obtained for the energy is -34.04 eV/cell. The magnetization is 0.0 μB per formula unit.